#1
The following is a PBE-GGA calculation of an optimized crystal structure of ZrTcAg2, from Alexandria.

POSCAR file:
```
ZrTcAg2
1.0
-1.928 -3.254 2.747
-3.953 -2.123 -1.312
0.076 -4.493 -1.291
Zr Tc Ag
1 1 2
direct
0.000 0.000 0.000
0.500 0.500 0.500
0.250 0.250 0.250
0.750 0.750 0.750
```

Values from the calculation:
For the volume, the calculation gives 72.24 Å³ per cell.

***

#2
The following is a PBE-GGA calculation of an optimized crystal structure of ZrTcAg2, from Alexandria.

POSCAR file:
```
ZrTcAg2
1.0
2.915 0.000 0.000
0.000 2.915 0.000
0.000 0.000 8.557
Ag Tc Zr
2 1 1
direct
0.000 0.000 0.009
0.500 0.500 0.257
0.000 0.000 0.498
0.500 0.500 0.736
```

Values from the calculation:
For the volume, the calculation gives 72.72 Å³ per cell.

***

#3
The following is a PBE-GGA calculation of an optimized crystal structure of ZrTcAg2, from Alexandria.

POSCAR file:
```
ZrTcAg2
1.0
-2.160 -0.428 -4.127
-4.285 -1.864 -0.215
-3.680 2.707 -1.006
Ag Tc Zr
2 1 1
direct
0.000 0.000 0.000
0.250 0.250 0.250
0.500 0.500 0.500
0.750 0.750 0.750
```

Values from the calculation:
For the volume, the calculation gives 72.38 Å³ per cell.

***

#4
The following is a PBE-GGA calculation of an optimized crystal structure of ZrTcAg2, from Alexandria.

POSCAR file:
```
ZrTcAg2
1.0
3.654 0.000 0.000
0.000 3.654 0.000
0.000 0.000 5.454
Ag Tc Zr
2 1 1
direct
0.000 0.000 0.006
0.000 0.000 0.494
0.500 0.500 0.250
0.500 0.500 0.750
```

Values from the calculation:
For the volume, the calculation gives 72.81 Å³ per cell.

***

Which of them is least stable? Easy: #1.

***

#1
The following is a PBE-GGA calculation of an optimized crystal structure of ZrTc2Ag2, from Alexandria.

POSCAR file:
```
ZrTc2Ag2
1.0
3.910 0.000 0.000
0.000 3.910 0.000
1.955 1.955 6.208
Zr Tc Ag
1 2 2
direct
0.000 0.000 0.000
0.412 0.412 0.175
0.588 0.588 0.825
0.750 0.250 0.500
0.250 0.750 0.500
```

Values from the calculation:
For the volume, the calculation gives 94.91 Å³ per cell.

***

#2
The following is a PBE-GGA calculation of an optimized crystal structure of ZrTc2Ag2, from Alexandria.

POSCAR file:
```
ZrTc2Ag2
1.0
8.092 0.000 0.000
0.000 8.092 0.000
0.000 0.000 2.691
Zr Tc Ag
2 4 4
direct
0.000 0.000 0.000
0.500 0.500 0.000
0.178 0.678 0.500
0.678 0.822 0.500
0.822 0.322 0.500
0.322 0.178 0.500
0.380 0.880 0.000
0.880 0.620 0.000
0.620 0.120 0.000
0.120 0.380 0.000
```

Values from the calculation:
For the volume, the calculation gives 176.23 Å³ per cell.

***

Which of them is least stable? Easy: #2.

***

#1
The following is a PBE-GGA calculation of an optimized crystal structure of Zr4TcAg, from Alexandria.

POSCAR file:
```
Zr4TcAg
1.0
-3.355 2.667 2.101
-3.863 -2.096 1.913
0.985 -0.435 7.548
Zr Tc Ag
4 1 1
direct
0.634 0.635 0.097
0.366 0.365 0.903
0.120 0.118 0.641
0.880 0.882 0.359
0.000 0.000 0.000
0.500 0.500 0.500
```

Values from the calculation:
For the volume, the calculation gives 140.92 Å³ per cell.

***

#2
The following is a PBE-GGA calculation of an optimized crystal structure of Zr4TcAg, from Alexandria.

POSCAR file:
```
Zr4TcAg
1.0
0.000 3.972 3.972
3.972 0.000 3.972
3.972 3.972 0.000
Zr Tc Ag
4 1 1
direct
0.880 0.373 0.373
0.373 0.373 0.880
0.373 0.880 0.373
0.373 0.373 0.373
0.000 0.000 0.000
0.750 0.750 0.750
```

Values from the calculation:
For the volume, the calculation gives 125.32 Å³ per cell.

***

Which of them is least stable? Easy: #2.

***

#1
The following is a PBE-GGA calculation of an optimized crystal structure of Ag5Te2, from Alexandria.

POSCAR file:
```
Ag5Te2
1.0
-4.429 2.030 -3.677
2.531 -2.883 -4.641
-2.411 -7.913 3.602
Ag Te
10 4
direct
0.386 0.500 0.262
0.124 0.000 0.738
0.245 0.750 0.490
0.755 0.750 0.510
0.755 0.250 0.510
0.245 0.250 0.490
0.876 0.000 0.262
0.614 0.500 0.738
0.000 0.250 0.000
0.000 0.750 0.000
0.154 0.500 0.776
0.378 0.000 0.224
0.846 0.500 0.224
0.622 0.000 0.776
```

Values from the calculation:
For the volume, the calculation gives 312.05 Å³ per cell.

***

#2
The following is a PBE-GGA calculation of an optimized crystal structure of Ag5Te2, from Alexandria.

POSCAR file:
```
Ag5Te2
1.0
4.588 0.000 -1.964
-0.306 7.443 -0.715
0.999 1.288 8.672
Ag Te
10 4
direct
0.559 0.745 0.401
0.158 0.755 0.599
0.441 0.255 0.599
0.842 0.245 0.401
0.856 0.250 0.000
0.144 0.750 0.000
0.696 0.587 0.126
0.570 0.913 0.874
0.304 0.413 0.874
0.430 0.087 0.126
0.714 0.598 0.727
0.987 0.902 0.273
0.286 0.402 0.273
0.013 0.098 0.727
```

Values from the calculation:
For the volume, the calculation gives 315.74 Å³ per cell.

***

Which of them is least stable? Easy: #2.

***

#1
The following is a PBE-GGA calculation of an optimized crystal structure of Ag3Te5, from Alexandria.

POSCAR file:
```
Ag3Te5
1.0
-4.816 4.111 4.192
0.413 -7.341 1.898
3.103 0.874 2.707
Ag Te
3 5
direct
0.500 0.500 0.000
0.690 0.310 0.500
0.310 0.690 0.500
0.000 0.000 0.000
0.000 0.500 0.000
0.500 0.000 0.000
0.270 0.270 0.500
0.730 0.730 0.500
```

Values from the calculation:
For the volume, the calculation gives 220.25 Å³ per cell.

***

#2
The following is a PBE-GGA calculation of an optimized crystal structure of Ag3Te5, from Alexandria.

POSCAR file:
```
Ag3Te5
1.0
-0.749 -3.810 -0.910
0.787 -1.054 3.765
-14.668 2.016 3.631
Ag Te
3 5
direct
0.000 0.000 0.500
0.500 0.500 0.208
0.500 0.500 0.792
0.000 0.000 0.000
0.000 0.000 0.196
0.000 0.000 0.804
0.500 0.500 0.407
0.500 0.500 0.593
```

Values from the calculation:
For the volume, the calculation gives 242.41 Å³ per cell.

***

#3
The following is a PBE-GGA calculation of an optimized crystal structure of Ag3Te5, from Alexandria.

POSCAR file:
```
Ag3Te5
1.0
8.941 -0.657 0.000
-8.445 6.646 0.000
-0.248 -2.994 8.589
Te Ag
10 6
direct
0.162 0.772 0.500
0.838 0.228 0.500
0.886 0.214 0.980
0.114 0.786 0.020
0.617 0.652 0.304
0.382 0.348 0.696
0.594 0.266 0.980
0.406 0.734 0.020
0.186 0.152 0.304
0.813 0.848 0.696
0.748 0.748 0.997
0.251 0.252 0.003
0.551 0.253 0.500
0.448 0.747 0.500
0.121 0.621 0.743
0.878 0.379 0.257
```

Values from the calculation:
For the volume, the calculation gives 462.71 Å³ per cell.

***

Which of them is least stable? Easy: #1.

***

#1
The following is a PBE-GGA calculation of an optimized crystal structure of Ag7Te5, from Alexandria.

POSCAR file:
```
Ag7Te5
1.0
4.119 0.000 0.000
-2.060 6.804 0.354
0.000 -2.465 10.859
Ag Te
7 5
direct
0.253 0.506 0.667
0.747 0.494 0.333
0.952 0.903 0.247
0.048 0.097 0.753
0.649 0.297 0.073
0.500 0.000 0.500
0.351 0.703 0.927
0.122 0.244 0.425
0.878 0.756 0.575
0.298 0.595 0.173
0.702 0.405 0.827
0.000 0.000 0.000
```

Values from the calculation:
For the volume, the calculation gives 307.91 Å³ per cell.

***

#2
The following is a PBE-GGA calculation of an optimized crystal structure of Ag7Te5, from Alexandria.

POSCAR file:
```
Ag7Te5
1.0
-0.555 -7.210 1.203
2.426 3.353 6.051
-6.592 2.674 -1.772
Te Ag
5 7
direct
0.007 0.007 0.000
0.701 0.246 0.000
0.246 0.701 0.000
0.701 0.701 0.455
0.246 0.246 0.545
0.360 0.360 0.000
0.489 0.989 0.500
0.989 0.489 0.500
0.740 0.998 0.259
0.740 0.481 0.741
0.481 0.740 0.741
0.998 0.740 0.259
```

Values from the calculation:
For the volume, the calculation gives 303.29 Å³ per cell.

***

Which of them is least stable? Easy: #2.